ZrIrRh after structural relaxation, computed with PBE.

Calculated values
Its density of states at the Fermi level is 4.24 states/eV/cell. The value obtained for the energy relative to the lowest polymorph listed for this composition is 24.8 kJ/mol of atoms.

a b c (Å): 5.0375 5.0375 5.0375
angles (deg): 146.56 134.27 57.83
Atoms (fractional coordinates):
Zr (0.0000, 0.0000, 0.0000)
Ir (0.6718, 0.6718, 0.0000)
Rh (0.3217, 0.3217, 0.0000)


ZrIr4Rh after structural relaxation, computed with PBE.

Calculated values
Its density of states at the Fermi level is 11.76 states/eV/cell. The value obtained for the total energy is -8.73 eV per atom.

a b c (Å): 5.1825 5.1825 5.1825
angles (deg): 60.00 60.00 60.00
Atoms (fractional coordinates):
Zr (0.0000, 0.0000, 0.0000)
Ir (0.1270, 0.6243, 0.6243)
Ir (0.6243, 0.1270, 0.6243)
Ir (0.6243, 0.6243, 0.1270)
Ir (0.6243, 0.6243, 0.6243)
Rh (0.2500, 0.2500, 0.2500)


ZrIrRh after structural relaxation, computed with PBE.

Calculated values
Its density of states at the Fermi level is 2.19 states/eV/cell. The value obtained for the energy relative to the lowest polymorph listed for this composition is 54.6 kJ/mol of atoms.

a b c (Å): 4.3598 4.3598 4.3598
angles (deg): 60.00 60.00 60.00
Atoms (fractional coordinates):
Zr (0.0000, 0.0000, 0.0000)
Ir (0.2500, 0.2500, 0.2500)
Rh (0.7500, 0.7500, 0.7500)